PBE CePr2UO8, optimized geometry; calculated density = 7.794 g/cm³; uncorrected energy = -8.89 eV/atom
1.0
3.8982 -0.1402 -0.0020
-0.0709 5.5785 -0.0056
0.0041 0.0092 7.7239
O U Pr Ce
8 1 2 1
direct
0.9789 0.2294 0.7710
0.9789 0.2294 0.2291
0.5177 0.7610 0.5000
0.5318 0.7785 0.0000
0.0211 0.7706 0.7709
0.4823 0.2390 0.5000
0.4682 0.2215 0.0000
0.0211 0.7706 0.2290
0.0000 0.0000 0.0000
0.5000 0.5000 0.7508
0.5000 0.5000 0.2492
0.0000 0.0000 0.5000